[1]
Density functional theory data (PBE) for TiIn2WN after structural relaxation.

POSCAR file:
```
TiIn2WN
1.0
5.4057 0.0000 0.0000
0.0000 3.6701 0.0000
0.0000 0.0000 5.4057
N In W Ti
1 2 1 1
Cartesian
0.0000 1.8350 0.0000
2.7029 0.0000 0.0000
0.0000 0.0000 2.7029
2.7029 1.8350 2.7029
0.0000 0.0000 0.0000
```

calculated volume: 107.2 Å³/cell
uncorrected energy: -5.7826 eV per atom

=====

[2]
Density functional theory data (PBE) for ZrTi2InN after structural relaxation.

POSCAR file:
```
ZrTi2InN
1.0
-4.1754 0.1936 -0.1205
-0.0774 -3.2810 -2.5914
-0.2370 -2.8559 3.6231
In Ti Zr N
1 2 1 1
Cartesian
-2.2449 -2.9717 0.4556
-0.0387 -1.6405 -1.2957
-2.0877 0.0968 -0.0602
-0.1185 -1.4280 1.8115
0.0000 0.0000 0.0000
```

calculated volume: 80.8 Å³/cell
uncorrected energy: -7.9458 eV per atom

=====

[3]
Density functional theory data (PBE) for Tl4In2N after structural relaxation.

POSCAR file:
```
Tl4In2N
1.0
4.9629 0.0000 0.0000
0.0000 4.9629 0.0000
2.4815 2.4815 8.2042
In Tl N
2 4 1
Cartesian
4.9629 4.9629 5.8811
2.4815 2.4815 2.3231
0.0000 2.4815 0.0000
2.4815 2.4815 5.6064
4.9629 4.9629 2.5978
2.4815 0.0000 0.0000
0.0000 0.0000 0.0000
```

calculated volume: 202.1 Å³/cell
uncorrected energy: -2.8498 eV per atom

=====

[4]
Density functional theory data (PBE) for TlInN3 after structural relaxation.

POSCAR file:
```
TlInN3
1.0
4.3827 0.0000 0.0000
0.0000 4.3827 0.0000
0.0000 0.0000 4.3827
N Tl In
3 1 1
Cartesian
0.0000 0.0000 2.1913
0.0000 2.1913 0.0000
2.1913 0.0000 0.0000
2.1913 2.1913 2.1913
0.0000 0.0000 0.0000
```

calculated volume: 84.2 Å³/cell
uncorrected energy: -4.2528 eV per atom

=====

[5]
Density functional theory data (PBE) for TlInN3 after structural relaxation.

POSCAR file:
```
TlInN3
1.0
-2.0646 2.5719 -2.9629
2.6356 -1.5710 -3.2003
-2.9064 -3.2517 -0.7974
Tl N In
1 3 1
Cartesian
0.0000 0.0000 0.0000
-1.0323 1.2860 -1.4814
1.3178 -0.7855 -1.6001
-1.4532 -1.6258 -0.3987
-1.1677 -1.1254 -3.4802
```

calculated volume: 87.1 Å³/cell
uncorrected energy: -3.7965 eV per atom

=====

[6]
Density functional theory data (PBE) for TlIn2N2 after structural relaxation.

POSCAR file:
```
TlIn2N2
1.0
-3.3821 1.5086 0.1223
-2.4223 -1.0893 2.5836
2.9251 6.1239 5.3232
N Tl In
2 1 2
Cartesian
-0.0664 4.0516 4.3024
-2.8128 2.4916 3.7267
0.0000 0.0000 0.0000
-0.8982 2.3096 2.7880
-1.9810 4.2337 5.2410
```

calculated volume: 102.6 Å³/cell
uncorrected energy: -4.5830 eV per atom

=====

[7]
Density functional theory data (PBE) for Tm4TlInN after structural relaxation.

POSCAR file:
```
Tm4TlInN
1.0
-5.6659 0.1463 -3.3923
1.5823 -5.7274 -2.8898
-0.7171 -3.9611 7.4578
N In Tm Tl
2 2 8 2
Cartesian
-0.5905 -6.2419 0.7171
-4.2102 -3.3002 0.4586
-2.3597 -4.4494 3.7493
-2.4410 -5.0928 -2.5736
-2.4003 -4.7711 0.5879
0.5651 -4.9763 -1.1585
-5.3658 -4.5659 2.3342
-1.7338 -7.4941 2.5726
-0.3586 -1.9805 3.7289
0.4326 -4.8442 2.2840
-3.1915 -1.9074 2.0328
-3.0669 -2.0481 -1.3969
-0.3949 -2.2976 0.5605
-4.4058 -7.2446 0.6152
```

calculated volume: 340.6 Å³/cell
uncorrected energy: -5.2026 eV per atom

=====

[8]
Density functional theory data (PBE) for Y4TlInN after structural relaxation.

POSCAR file:
```
Y4TlInN
1.0
-0.1077 6.6784 0.7699
-6.2537 0.1840 -2.4705
-2.8686 -4.2314 6.9460
Y Tl N In
8 2 2 2
Cartesian
-7.1030 -0.5986 4.1996
-2.1269 3.2296 1.0458
-4.0357 2.6468 5.8341
-4.5611 -2.0237 2.2377
-4.6149 1.3155 2.6227
-1.4343 -2.1157 3.4730
-5.1942 -0.0159 -0.5888
-1.4881 1.2235 3.8579
-7.0134 2.7844 4.2249
-2.2164 -0.1534 1.0205
-3.0764 2.9397 3.4276
-6.1535 -0.3087 1.8178
-5.4007 3.2767 0.1793
-3.8291 -0.6457 5.0661
```

calculated volume: 359.2 Å³/cell
uncorrected energy: -6.3548 eV per atom

=====

Sequential formation energy (no corrections) output: 1147.5, -865.4, 474.1, 1763.4, 2219.6, 315.8, -728.9, -742.4 meV/atom
Sequential DOS at the Fermi energy output: 3.53, 3.05, 4.26, 1.23, 2.43, 1.08, 10.43, 10.94 states/eV per cell